BaNaTc3 | PBE | relaxed

Cell lengths 4.974, 4.974, 4.974 Å; angles 90.00, 90.00, 90.00 degrees
Fractional positions:
Ba 0.000 0.000 0.000
Na 0.500 0.500 0.500
Tc 0.000 0.500 0.500
Tc 0.500 0.000 0.500
Tc 0.500 0.500 0.000

Values from the calculation:
Formation energy from the elements = 2222 meV/atom
Space-group type = Pm-3m, No. 221